No. 1
Be2FeSeCl after structural relaxation. Source: the Alexandria database, functional PBE.

E: -3.8014 eV per atom
Formation energy (no corrections): 2.24 eV/f.u.

abc: 4.4840 4.1619 4.4840
angles: 90.00 90.00 90.00
Closest atoms and distances in Å follow each position.
Atoms (fractional coordinates):
1 Be 0.0000 0.0000 0.5000  2 Fe 2.24
2 Be 0.5000 0.0000 0.0000  2 Fe 2.24
3 Fe 0.0000 0.0000 0.0000  2 Se 2.08, 4 Be 2.24
4 Se 0.0000 0.5000 0.0000  2 Fe 2.08
5 Cl 0.5000 0.5000 0.5000  8 Be 3.06, 4 Se 3.17

No. 2
YP2Ru4 after structural relaxation. Source: the Alexandria database, functional PBE.

E: -8.4668 eV per atom
Formation energy from the elements: -0.697 eV/atom

abc: 3.7898 7.4870 7.4870
angles: 90.00 90.00 90.00
Closest atoms and distances in Å follow each position.
Atoms (fractional coordinates):
1 Y 0.5000 0.0000 0.0000  6 P 2.90-3.05, 8 Ru 3.19
2 Y 0.0000 0.5000 0.5000  6 P 2.90-3.05, 8 Ru 3.19
3 P 0.0000 0.2257 0.7743  6 Ru 2.38-2.46
4 P 0.0000 0.7743 0.2257  6 Ru 2.38-2.46
5 P 0.5000 0.7257 0.7257  6 Ru 2.38-2.46
6 P 0.5000 0.2743 0.2743  6 Ru 2.38-2.46
7 Ru 0.0000 0.0733 0.3353  3 P 2.38-2.46
8 Ru 0.0000 0.9267 0.6647  3 P 2.38-2.46
9 Ru 0.5000 0.1647 0.5733  3 P 2.38-2.46
10 Ru 0.5000 0.8353 0.4267  3 P 2.38-2.46
11 Ru 0.5000 0.4267 0.8353  3 P 2.38-2.46
12 Ru 0.5000 0.5733 0.1647  3 P 2.38-2.46
13 Ru 0.0000 0.3353 0.0733  3 P 2.38-2.46
14 Ru 0.0000 0.6647 0.9267  3 P 2.38-2.46

No. 3
InGaAu2 after structural relaxation. Source: the Alexandria database, functional PBE.

E: -3.2783 eV per atom
Formation energy from the elements: -0.198 eV/atom

abc: 3.9390 6.1633 13.9112
angles: 90.00 90.00 90.00
Closest atoms and distances in Å follow each position.
Atoms (fractional coordinates):
1 In 0.7500 0.0298 0.1482  7 Au 2.83-2.97
2 In 0.2500 0.9702 0.8518  7 Au 2.83-2.97
3 In 0.7500 0.5298 0.3518  7 Au 2.83-2.97
4 In 0.2500 0.4702 0.6482  7 Au 2.83-2.97
5 Ga 0.2500 0.6289 0.0956  5 Au 2.65-2.70
6 Ga 0.2500 0.1289 0.4044  5 Au 2.65-2.70
7 Ga 0.7500 0.3711 0.9044  5 Au 2.65-2.70
8 Ga 0.7500 0.8711 0.5956  5 Au 2.65-2.70
9 Au 0.7500 0.2627 0.5177  3 Ga 2.65, 1 In 2.83
10 Au 0.2500 0.7373 0.4823  3 Ga 2.65, 1 In 2.83
11 Au 0.7500 0.7627 0.9823  3 Ga 2.65, 1 In 2.83
12 Au 0.2500 0.2373 0.0177  3 Ga 2.65, 1 In 2.83
13 Au 0.7500 0.1867 0.7303  2 Ga 2.68-2.70, 4 In 2.87-2.92, 1 Au 2.99
14 Au 0.2500 0.3133 0.2303  2 Ga 2.68-2.70, 4 In 2.87-2.92, 1 Au 2.99
15 Au 0.7500 0.6867 0.7697  2 Ga 2.68-2.70, 4 In 2.87-2.92, 1 Au 2.99
16 Au 0.2500 0.8133 0.2697  2 Ga 2.68-2.70, 4 In 2.87-2.92, 1 Au 2.99

No. 4
ReBPC after structural relaxation. Source: the Alexandria database, functional PBE.

E: -8.1465 eV per atom
Formation energy from the elements: 0.293 eV/atom
Relative energy among the computed polymorphs: 0.182 eV per atom

abc: 2.9850 2.9850 16.7366
angles: 90.00 90.00 120.00
Closest atoms and distances in Å follow each position.
Atoms (fractional coordinates):
1 Re 0.0000 0.0000 0.8235  3 C 2.11
2 Re 0.3333 0.6667 0.4901  3 C 2.11
3 Re 0.6667 0.3333 0.1568  3 C 2.11
4 C 0.0000 0.0000 0.5625  1 P 1.80
5 C 0.3333 0.6667 0.2292  1 P 1.80
6 C 0.6667 0.3333 0.8959  1 P 1.80
7 B 0.0000 0.0000 0.0523  3 P 1.91
8 B 0.3333 0.6667 0.7190  3 P 1.91
9 B 0.6667 0.3333 0.3857  3 P 1.91
10 P 0.0000 0.0000 0.6700  1 C 1.80, 3 B 1.91
11 P 0.3333 0.6667 0.3367  1 C 1.80, 3 B 1.91
12 P 0.6667 0.3333 0.0034  1 C 1.80, 3 B 1.91

No. 5
SrTcOs after structural relaxation. Source: the Alexandria database, functional PBE.

E: -5.2626 eV per atom
Formation energy from the elements: 2.497 eV/atom
Relative energy among the computed polymorphs: 2.246 eV per atom

abc: 4.6347 4.6347 4.6347
angles: 60.00 60.00 60.00
Closest atoms and distances in Å follow each position.
Atoms (fractional coordinates):
1 Os 0.5000 0.5000 0.5000  4 Sr 2.84
2 Sr 0.7500 0.7500 0.7500  4 Os 2.84, 4 Tc 2.84
3 Tc 0.0000 0.0000 0.0000  4 Sr 2.84

No. 6
SrBe2Co after structural relaxation. Source: the Alexandria database, functional PBE.

E: -3.0961 eV per atom
Formation energy from the elements: 0.964 eV/atom
Relative energy among the computed polymorphs: 0.912 eV per atom

abc: 6.0372 4.6611 2.9996
angles: 89.99 60.19 119.20
Closest atoms and distances in Å follow each position.
Atoms (fractional coordinates):
1 Sr 0.5000 0.5000 0.0000  2 Co 2.62, 8 Be 2.77
2 Co 0.0000 0.5000 0.5000  2 Sr 2.62, 8 Be 2.77
3 Be 0.0000 0.0000 0.0000  2 Be 2.62, 4 Sr 2.77, 4 Co 2.77
4 Be 0.5000 0.0000 0.5000  2 Be 2.62, 4 Co 2.77, 4 Sr 2.77

No. 7
Tl2SbP after structural relaxation. Source: the Alexandria database, functional PBE.

E: -3.3751 eV per atom
Formation energy (no corrections): 0.76 eV/f.u.
Relative energy among the computed polymorphs: 0.113 eV per atom

abc: 6.4545 6.4545 7.8496
angles: 65.72 65.72 90.00
Closest atoms and distances in Å follow each position.
Atoms (fractional coordinates):
1 Sb 0.0000 0.0000 0.0000  4 Tl 2.91
2 Sb 0.7500 0.2500 0.5000  4 Tl 2.91
3 Tl 0.5922 0.1250 0.2500  2 P 2.67, 2 Sb 2.91
4 Tl 0.1578 0.6250 0.2500  2 P 2.67, 2 Sb 2.91
5 Tl 0.3750 0.4078 0.7500  2 P 2.67, 2 Sb 2.91
6 Tl 0.8750 0.8422 0.7500  2 P 2.67, 2 Sb 2.91
7 P 0.5000 0.5000 0.0000  4 Tl 2.67
8 P 0.2500 0.7500 0.5000  4 Tl 2.67

No. 8
TbTm6Pd3 after structural relaxation. Source: the Alexandria database, functional PBE.

E: -5.2320 eV per atom
Formation energy from the elements: -0.528 eV/atom

abc: 7.1912 8.5872 8.5872
angles: 98.87 90.00 90.00
Closest atoms and distances in Å follow each position.
Atoms (fractional coordinates):
1 Tb 0.0407 0.3153 0.6847  1 Pd 2.79
2 Tb 0.5407 0.6847 0.3153  1 Pd 2.79
3 Tm 0.1678 0.7075 0.6285  4 Pd 2.73-2.88
4 Tm 0.6678 0.6285 0.7075  4 Pd 2.73-2.88
5 Tm 0.3200 0.5807 0.9637  2 Pd 2.89-2.98
6 Tm 0.8200 0.9637 0.5807  2 Pd 2.89-2.98
7 Tm 0.1638 0.0324 0.9676  4 Pd 3.13-3.16
8 Tm 0.5191 0.2295 0.7705  3 Pd 2.72-2.73
9 Tm 0.0191 0.7705 0.2295  3 Pd 2.72-2.73
10 Tm 0.6638 0.9676 0.0324  4 Pd 3.13-3.16
11 Tm 0.3200 0.0363 0.4193  2 Pd 2.89-2.98
12 Tm 0.8200 0.4193 0.0363  2 Pd 2.89-2.98
13 Tm 0.1678 0.3715 0.2925  4 Pd 2.73-2.88
14 Tm 0.6678 0.2925 0.3715  4 Pd 2.73-2.88
15 Pd 0.4551 0.9124 0.7050  5 Tm 2.73-2.98
16 Pd 0.9551 0.7050 0.9124  5 Tm 2.73-2.98
17 Pd 0.3759 0.4224 0.5776  5 Tm 2.72-2.86, 1 Tb 2.79
18 Pd 0.8759 0.5776 0.4224  5 Tm 2.72-2.86, 1 Tb 2.79
19 Pd 0.9551 0.0876 0.2950  5 Tm 2.73-2.98
20 Pd 0.4551 0.2950 0.0876  5 Tm 2.73-2.98

No. 9
YCu8Au3 after structural relaxation. Source: the Alexandria database, functional PBE.

E: -4.2352 eV per atom
Formation energy from the elements: -0.146 eV/atom

abc: 4.9976 4.9976 8.1165
angles: 90.00 90.00 120.00
Closest atoms and distances in Å follow each position.
Atoms (fractional coordinates):
1 Y 0.0000 0.0000 0.5626  12 Cu 2.93-2.96, 4 Au 3.05-3.06
2 Cu 0.3333 0.6667 0.4984  6 Cu 2.53-2.56
3 Cu 0.3333 0.6667 0.9978  6 Cu 2.44-2.47
4 Cu 0.5024 0.0047 0.7573  6 Cu 2.44-2.56
5 Cu 0.5024 0.4976 0.7573  6 Cu 2.44-2.56
6 Cu 0.9953 0.4976 0.7573  6 Cu 2.44-2.56
7 Cu 0.1655 0.3310 0.2437  6 Cu 2.47-2.53
8 Cu 0.1655 0.8345 0.2437  6 Cu 2.47-2.53
9 Cu 0.6690 0.8345 0.2437  6 Cu 2.47-2.53
10 Au 0.6667 0.3333 0.4359  12 Cu 2.93-2.97, 1 Au 3.02, 3 Y 3.06
11 Au 0.6667 0.3333 0.0636  12 Cu 2.86-2.93, 4 Au 3.02-3.06
12 Au 0.0000 0.0000 0.9388  12 Cu 2.86-2.92, 1 Y 3.05, 3 Au 3.06

No. 10
PrHoCu3 after structural relaxation. Source: the Alexandria database, functional PBE.

E: -4.5490 eV per atom
Formation energy from the elements: -0.220 eV/atom

abc: 3.7588 4.3218 12.9063
angles: 90.00 98.37 90.00
Closest atoms and distances in Å follow each position.
Atoms (fractional coordinates):
1 Pr 0.9273 0.7500 0.8545  12 Cu 3.11-3.22
2 Pr 0.0727 0.2500 0.1455  12 Cu 3.11-3.22
3 Ho 0.2053 0.7500 0.4106  7 Cu 2.85-3.05
4 Ho 0.7947 0.2500 0.5894  7 Cu 2.85-3.05
5 Cu 0.6214 0.7500 0.2429  3 Cu 2.48-2.56
6 Cu 0.3786 0.2500 0.7571  3 Cu 2.48-2.56
7 Cu 0.5242 0.7500 0.0484  3 Cu 2.48-2.49
8 Cu 0.4758 0.2500 0.9516  3 Cu 2.48-2.49
9 Cu 0.6752 0.2500 0.3504  2 Cu 2.56
10 Cu 0.3248 0.7500 0.6496  2 Cu 2.56

no.,DOS at the Fermi energy (states/eV per cell),V (Å³ per atom)
1,2.554,16.74
2,11.405,15.17
3,6.228,21.11
4,4.889,10.76
5,5.078,23.47
6,1.931,15.14
7,0.021,33.26
8,20.770,26.20
9,5.682,14.63
10,7.272,20.74